# 1
A relaxed structure of NaSr2F. Source: Alexandria, functional PBE.

Properties
* SG: R-3m, No. 166
* calculated volume: 37.29 Å³/atom
* uncorrected formation energy: -1.10 eV per atom
* magnetization: 1.08 μB per cell
* crystal system: trigonal

The structure in POSCAR format:
```
NaSr2F
1.0
2.0039 1.1569 10.7231
-2.0039 1.1569 10.7231
0.0000 -2.3139 10.7231
Na Sr F
1 2 1
direct
0.0000 0.0000 0.0000 Na
0.1166 0.1166 0.1166 Sr
0.8834 0.8834 0.8834 Sr
0.5000 0.5000 0.5000 F
```


# 2
A relaxed structure of NaSr2F. Source: Alexandria, functional PBE.

Properties
* SG: I-42d, No. 122
* calculated volume: 38.07 Å³/atom
* uncorrected formation energy: -1.32 eV per atom
* magnetization: 0.00 μB per cell
* crystal system: tetragonal

The structure in POSCAR format:
```
NaSr2F
1.0
-3.9337 3.9337 4.9200
3.9337 -3.9337 4.9200
3.9337 3.9337 -4.9200
Na Sr F
2 4 2
direct
0.0000 0.0000 0.0000 Na
0.7500 0.2500 0.5000 Na
0.2548 0.1250 0.6298 Sr
0.3750 0.7452 0.8702 Sr
0.4952 0.6250 0.3702 Sr
0.8750 0.5048 0.1298 Sr
0.2500 0.7500 0.5000 F
0.5000 0.5000 0.0000 F
```


# 3
A relaxed structure of NaSrF3. Source: Alexandria, functional PBE.

Properties
* SG: Pm-3m, No. 221
* calculated volume: 14.49 Å³/atom
* uncorrected formation energy: -3.16 eV per atom
* magnetization: 0.00 μB per cell
* crystal system: cubic

The structure in POSCAR format:
```
NaSrF3
1.0
4.1684 0.0000 0.0000
0.0000 4.1684 0.0000
0.0000 0.0000 4.1684
Na Sr F
1 1 3
direct
0.0000 0.0000 0.0000 Na
0.5000 0.5000 0.5000 Sr
0.0000 0.0000 0.5000 F
0.0000 0.5000 0.0000 F
0.5000 0.0000 0.0000 F
```


# 4
A relaxed structure of Na4SrF8. Source: Alexandria, functional PBE.

Properties
* SG: R-3m, No. 166
* calculated volume: 18.67 Å³/atom
* uncorrected formation energy: -2.45 eV per atom
* magnetization: 2.05 μB per cell
* crystal system: trigonal

The structure in POSCAR format:
```
Na4SrF8
1.0
3.4857 2.0125 5.7667
-3.4857 2.0125 5.7667
0.0000 -4.0249 5.7667
Na Sr F
4 1 8
direct
0.0000 0.0000 0.0000 Na
0.0000 0.5000 0.5000 Na
0.5000 0.0000 0.5000 Na
0.5000 0.5000 0.0000 Na
0.5000 0.5000 0.5000 Sr
0.2521 0.2521 0.7081 F
0.2521 0.7081 0.2521 F
0.2772 0.2772 0.2772 F
0.2919 0.7479 0.7479 F
0.7081 0.2521 0.2521 F
0.7228 0.7228 0.7228 F
0.7479 0.2919 0.7479 F
0.7479 0.7479 0.2919 F
```


# 5
A relaxed structure of NaSrF3. Source: Alexandria, functional PBE.

Properties
* SG: P2_1/c, No. 14
* calculated volume: 16.46 Å³/atom
* uncorrected formation energy: -3.39 eV per atom
* magnetization: 0.00 μB per cell
* crystal system: monoclinic

The structure in POSCAR format:
```
NaSrF3
1.0
7.2447 0.0000 0.0000
0.0000 6.0072 0.0000
-2.0401 0.0000 7.5631
Na Sr F
4 4 12
direct
0.1048 0.2238 0.4724 Na
0.1048 0.2762 0.9724 Na
0.8952 0.7238 0.0276 Na
0.8952 0.7762 0.5276 Na
0.3581 0.7461 0.8400 Sr
0.3581 0.7539 0.3400 Sr
0.6419 0.2461 0.6600 Sr
0.6419 0.2539 0.1600 Sr
0.0291 0.6179 0.8027 F
0.0291 0.8821 0.3027 F
0.3317 0.0050 0.0752 F
0.3317 0.4950 0.5752 F
0.3602 0.5018 0.0969 F
0.3602 0.9982 0.5969 F
0.6398 0.0018 0.4031 F
0.6398 0.4982 0.9031 F
0.6683 0.5050 0.4248 F
0.6683 0.9950 0.9248 F
0.9709 0.1179 0.6973 F
0.9709 0.3821 0.1973 F
```


# 6
A relaxed structure of Na2SrF4. Source: Alexandria, functional PBE.

Properties
* SG: I4_1/amd, No. 141
* calculated volume: 14.84 Å³/atom
* uncorrected formation energy: -3.21 eV per atom
* magnetization: 0.00 μB per cell
* crystal system: tetragonal

The structure in POSCAR format:
```
Na2SrF4
1.0
-3.7635 3.7635 3.6681
3.7635 -3.7635 3.6681
3.7635 3.7635 -3.6681
Na Sr F
4 2 8
direct
0.0000 0.0000 0.0000 Na
0.0000 0.0000 0.5000 Na
0.0000 0.5000 0.0000 Na
0.5000 0.0000 0.5000 Na
0.3750 0.6250 0.7500 Sr
0.6250 0.3750 0.2500 Sr
0.1245 0.6915 0.4330 F
0.2415 0.3085 0.9330 F
0.3085 0.2415 0.4330 F
0.3085 0.8755 0.0670 F
0.6915 0.1245 0.9330 F
0.6915 0.7585 0.5670 F
0.7585 0.6915 0.0670 F
0.8755 0.3085 0.5670 F
```


# 7
A relaxed structure of Na2SrF4. Source: Alexandria, functional PBE.

Properties
* SG: I4/mmm, No. 139
* calculated volume: 20.10 Å³/atom
* uncorrected formation energy: -2.98 eV per atom
* magnetization: 0.15 μB per cell
* crystal system: tetragonal

The structure in POSCAR format:
```
Na2SrF4
1.0
-2.3606 2.3606 6.3135
2.3606 -2.3606 6.3135
2.3606 2.3606 -6.3135
Na Sr F
2 1 4
direct
0.1464 0.1464 0.0000 Na
0.8536 0.8536 0.0000 Na
0.5000 0.5000 0.0000 Sr
0.0000 0.5000 0.5000 F
0.3129 0.3129 0.0000 F
0.5000 0.0000 0.5000 F
0.6871 0.6871 0.0000 F
```


# 8
A relaxed structure of NaSr3F. Source: Alexandria, functional PBE.

Properties
* SG: Pm-3m, No. 221
* calculated volume: 56.65 Å³/atom
* uncorrected formation energy: -0.07 eV per atom
* magnetization: 0.00 μB per cell
* crystal system: cubic

The structure in POSCAR format:
```
NaSr3F
1.0
6.5674 0.0000 0.0000
0.0000 6.5674 0.0000
0.0000 0.0000 6.5674
Na Sr F
1 3 1
direct
0.0000 0.0000 0.0000 Na
0.0000 0.0000 0.5000 Sr
0.0000 0.5000 0.0000 Sr
0.5000 0.0000 0.0000 Sr
0.5000 0.5000 0.5000 F
```


# 9
A relaxed structure of NaSr2F. Source: Alexandria, functional PBE.

Properties
* SG: R3m, No. 160
* calculated volume: 40.31 Å³/atom
* uncorrected formation energy: -1.32 eV per atom
* magnetization: 0.00 μB per cell
* crystal system: trigonal

The structure in POSCAR format:
```
NaSr2F
1.0
2.0688 1.1944 10.8759
-2.0688 1.1944 10.8759
0.0000 -2.3889 10.8759
Na Sr F
1 2 1
direct
0.0000 0.0000 0.0000 Na
0.2347 0.2347 0.2347 Sr
0.4516 0.4516 0.4516 Sr
0.7717 0.7717 0.7717 F
```


# 10
A relaxed structure of NaSrF3. Source: Alexandria, functional PBE.

Properties
* SG: Pm-3m, No. 221
* calculated volume: 21.10 Å³/atom
* uncorrected formation energy: -3.16 eV per atom
* magnetization: 0.00 μB per cell
* crystal system: cubic

The structure in POSCAR format:
```
NaSrF3
1.0
4.7252 0.0000 0.0000
0.0000 4.7252 0.0000
0.0000 0.0000 4.7252
Na Sr F
1 1 3
direct
0.0000 0.0000 0.0000 Na
0.5000 0.5000 0.5000 Sr
0.0000 0.5000 0.5000 F
0.5000 0.0000 0.5000 F
0.5000 0.5000 0.0000 F
```